The following is a PBE calculation of an optimized crystal structure of Cs2Tl3InI6, from Alexandria via LeMat-Bulk.

Lattice parameters (Å, degrees): 5.1785 10.4062 11.5965 102.75 102.90 90.00
Last column: nearest neighbours and their distance in Å.
Fractional positions:
In1 0.5000 0.0000 0.0000  6 I 3.58-3.65
Tl1 0.8329 0.1658 0.6658  6 I 3.52-3.77
Tl2 0.1671 0.8342 0.3342  6 I 3.52-3.77
Tl3 0.5000 0.5000 0.0000  6 I 3.53-3.70
I1 0.3378 0.9399 0.6757  3 Tl 3.52-3.77, 1 In 3.58, 2 Cs 3.79
I2 0.3398 0.4054 0.6795  3 Tl 3.53-3.57, 3 Cs 3.82-3.85
I3 0.6622 0.0601 0.3243  3 Tl 3.52-3.77, 1 In 3.58, 2 Cs 3.79
I4 0.6602 0.5946 0.3205  3 Tl 3.53-3.57, 3 Cs 3.82-3.85
I5 0.9927 0.2434 0.9853  3 Tl 3.52-3.70, 2 In 3.65, 1 Cs 3.79
I6 0.0073 0.7566 0.0147  3 Tl 3.52-3.70, 2 In 3.65, 1 Cs 3.79
Cs1 0.8352 0.6729 0.6704  6 I 3.79-3.85
Cs2 0.1648 0.3271 0.3296  6 I 3.79-3.85

Values from the calculation:
Magnetization (μB per cell): 0.00
DOS(E_F) (states/eV/f.u.): 0.00
Electronic total energy (eV per atom): -2.65
Formation energy from raw total energies (eV per atom): -0.912
Symmetry: No. 12